# NiIrO3

A relaxed structure of NiIrO3 (PBE+U, Alexandria).

Unit cell a=10.675 b=3.557 c=6.270 alpha=90.00 beta=100.73 gamma=90.00
Space group C2/m (No. 12)
Symmetry-distinct sites (fractional):
1 Ni 0.139 0.000 0.396
2 Ir 0.126 0.500 0.899
3 O 0.063 0.500 0.200
4 O 0.172 0.000 0.006
5 O 0.172 0.500 0.600

Computed properties:
D(E_F) = 5.28 states/eV per cell
Magnetization = 1.99 μB per formula unit
Final energy = -5.808 eV per atom